Record 1
# U2Co3CuGe4 | the Alexandria database | PBE-GGA | relaxed
# energy relative to the lowest polymorph listed for this composition	0	meV/atom
# crystal system	tetragonal
# ΔE_f	-0.30	eV/atom
data_U2Co3CuGe4
_cell_length_a 4.059
_cell_length_b 4.059
_cell_length_c 9.640
_cell_angle_alpha 90.00
_cell_angle_beta 90.00
_cell_angle_gamma 90.00
_space_group_name_H-M_alt 'P -4 m 2'
_space_group_IT_number 115
loop_
_space_group_symop_operation_xyz
'x,y,z'
'y,-x,-z'
'-x,-y,z'
'-y,x,-z'
'-x,y,z'
'-y,-x,-z'
'x,-y,z'
'y,x,-z'
loop_
_atom_site_label
_atom_site_fract_x
_atom_site_fract_y
_atom_site_fract_z
_atom_site_occupancy
U1 0.000 0.500 0.248 1
Co1 0.000 0.500 0.873 1
Co2 0.500 0.500 0.500 1
Cu1 0.000 0.000 0.500 1
Ge1 0.000 0.000 0.000 1
Ge2 0.000 0.500 0.636 1
Ge3 0.500 0.500 0.000 1

***

Record 2
# NdHgRh | the Alexandria database | PBE-GGA | relaxed
# crystal system	orthorhombic
# ΔE_f	-0.58	eV/atom
data_NdHgRh
_cell_length_a 3.953
_cell_length_b 17.456
_cell_length_c 4.072
_cell_angle_alpha 90.00
_cell_angle_beta 90.00
_cell_angle_gamma 90.00
_space_group_name_H-M_alt 'C m c m'
_space_group_IT_number 63
_space_group_name_Hall '-C 2c 2'
loop_
_atom_site_label
_atom_site_fract_x
_atom_site_fract_y
_atom_site_fract_z
_atom_site_occupancy
Nd1 0.000 0.098 0.250 1
Hg1 0.000 0.292 0.250 1
Rh1 0.000 0.452 0.250 1

***

Record 3
# TbHoRuRh | the Alexandria database | PBE-GGA | relaxed
# crystal system	orthorhombic
# ΔE_f	-0.62	eV/atom
data_TbHoRuRh
_cell_length_a 3.404
_cell_length_b 4.824
_cell_length_c 4.830
_cell_angle_alpha 90.00
_cell_angle_beta 90.00
_cell_angle_gamma 90.00
_space_group_name_H-M_alt 'P m m m'
_space_group_IT_number 47
loop_
_space_group_symop_operation_xyz
'x,y,z'
'-x,-y,-z'
'-x,-y,z'
'x,y,-z'
'x,-y,-z'
'-x,y,z'
'-x,y,-z'
'x,-y,z'
loop_
_atom_site_label
_atom_site_fract_x
_atom_site_fract_y
_atom_site_fract_z
_atom_site_occupancy
Tb1 0.000 0.000 0.000 1
Ho1 0.000 0.500 0.500 1
Ru1 0.500 0.500 0.000 1
Rh1 0.500 0.000 0.500 1

***

Record 4
# La2CuNi2Pt5 | the Alexandria database | PBE-GGA | relaxed
# crystal system	tetragonal
# ΔE_f	-0.68	eV/atom
data_La2CuNi2Pt5
_cell_length_a 9.340
_cell_length_b 9.340
_cell_length_c 4.010
_cell_angle_alpha 90.00
_cell_angle_beta 90.00
_cell_angle_gamma 90.00
_space_group_name_H-M_alt 'P 4/m b m'
_space_group_IT_number 127
_space_group_name_Hall '-P 4 2ab'
loop_
_atom_site_label
_atom_site_fract_x
_atom_site_fract_y
_atom_site_fract_z
_atom_site_occupancy
La1 0.181 0.319 0.000 1
Cu1 0.000 0.000 0.000 1
Ni1 0.120 0.620 0.000 1
Pt1 0.000 0.500 0.500 1
Pt2 0.061 0.795 0.500 1

***

Record 5
# Co2Pt3Rh3 | the Alexandria database | PBE-GGA | relaxed
# crystal system	orthorhombic
# ΔE_f	-0.04	eV/atom
data_Co2Pt3Rh3
_cell_length_a 3.832
_cell_length_b 3.840
_cell_length_c 7.654
_cell_angle_alpha 90.00
_cell_angle_beta 90.00
_cell_angle_gamma 90.00
_space_group_name_H-M_alt 'P m m m'
_space_group_IT_number 47
loop_
_space_group_symop_operation_xyz
'x,y,z'
'-x,-y,-z'
'-x,-y,z'
'x,y,-z'
'x,-y,-z'
'-x,y,z'
'-x,y,-z'
'x,-y,z'
loop_
_atom_site_label
_atom_site_fract_x
_atom_site_fract_y
_atom_site_fract_z
_atom_site_occupancy
Co1 0.000 0.000 0.247 1
Pt1 0.000 0.500 0.500 1
Pt2 0.500 0.500 0.247 1
Rh1 0.000 0.500 0.000 1
Rh2 0.500 0.000 0.000 1
Rh3 0.500 0.000 0.500 1

***

Record 6
# NaCuTe2Se4 | the Alexandria database | PBE-GGA | relaxed
# crystal system	tetragonal
# formation energy (no corrections)	-1.8	eV per formula unit
data_NaCuTe2Se4
_cell_length_a 7.136
_cell_length_b 7.136
_cell_length_c 8.751
_cell_angle_alpha 90.00
_cell_angle_beta 90.00
_cell_angle_gamma 90.00
_space_group_name_H-M_alt 'I -4 2 m'
_space_group_IT_number 121
_space_group_name_Hall 'I -4 2'
loop_
_atom_site_label
_atom_site_fract_x
_atom_site_fract_y
_atom_site_fract_z
_atom_site_occupancy
Na1 0.000 0.000 0.000 1
Cu1 0.000 0.000 0.500 1
Te1 0.000 0.500 0.250 1
Se1 0.214 0.214 0.629 1

***

Record 7
# Sm7HoEr4 | the Alexandria database | PBE-GGA | relaxed
# energy relative to the lowest polymorph listed for this composition	0	meV/atom
# crystal system	triclinic
# ΔE_f	0.00	eV/atom
data_Sm7HoEr4
_cell_length_a 6.257
_cell_length_b 7.219
_cell_length_c 8.893
_cell_angle_alpha 90.00
_cell_angle_beta 103.67
_cell_angle_gamma 90.05
_space_group_name_H-M_alt 'P -1'
_space_group_IT_number 2
loop_
_space_group_symop_operation_xyz
'x,y,z'
'-x,-y,-z'
loop_
_atom_site_label
_atom_site_fract_x
_atom_site_fract_y
_atom_site_fract_z
_atom_site_occupancy
Sm1 0.000 0.000 0.000 1
Sm2 0.221 0.500 0.666 1
Sm3 0.280 0.751 0.335 1
Sm4 0.499 0.248 0.001 1
Ho1 0.000 0.500 0.000 1
Er1 0.220 0.000 0.665 1
Er2 0.278 0.248 0.333 1

***

Record 8
# GdNpPb2 | the Alexandria database | PBE-GGA | relaxed
# crystal system	tetragonal
# ΔE_f	-0.08	eV/atom
data_GdNpPb2
_cell_length_a 5.014
_cell_length_b 5.014
_cell_length_c 4.500
_cell_angle_alpha 90.00
_cell_angle_beta 90.00
_cell_angle_gamma 90.00
_space_group_name_H-M_alt 'P 4/m m m'
_space_group_IT_number 123
_space_group_name_Hall '-P 4 2'
loop_
_atom_site_label
_atom_site_fract_x
_atom_site_fract_y
_atom_site_fract_z
_atom_site_occupancy
Gd1 0.000 0.000 0.000 1
Np1 0.500 0.500 0.000 1
Pb1 0.000 0.500 0.500 1

***

Record 9
# Pm2Ga5Pd2Rh | the Alexandria database | PBE-GGA | relaxed
# crystal system	tetragonal
# ΔE_f	-0.58	eV/atom
data_Pm2Ga5Pd2Rh
_cell_length_a 9.778
_cell_length_b 9.778
_cell_length_c 3.963
_cell_angle_alpha 90.00
_cell_angle_beta 90.00
_cell_angle_gamma 90.00
_space_group_name_H-M_alt 'P 4/m b m'
_space_group_IT_number 127
_space_group_name_Hall '-P 4 2ab'
loop_
_atom_site_label
_atom_site_fract_x
_atom_site_fract_y
_atom_site_fract_z
_atom_site_occupancy
Pm1 0.186 0.314 0.000 1
Ga1 0.000 0.500 0.500 1
Ga2 0.046 0.808 0.500 1
Pd1 0.113 0.613 0.000 1
Rh1 0.000 0.000 0.000 1

***

Record 10
# ZnCo2Br | the Alexandria database | PBE-GGA | relaxed
# energy relative to the lowest polymorph listed for this composition	392	meV/atom
# crystal system	tetragonal
# formation energy (no corrections)	2.6	eV per formula unit
data_ZnCo2Br
_cell_length_a 3.627
_cell_length_b 3.627
_cell_length_c 8.892
_cell_angle_alpha 90.00
_cell_angle_beta 90.00
_cell_angle_gamma 90.00
_space_group_name_H-M_alt 'I -4 m 2'
_space_group_IT_number 119
_space_group_name_Hall 'I -4 -2'
loop_
_atom_site_label
_atom_site_fract_x
_atom_site_fract_y
_atom_site_fract_z
_atom_site_occupancy
Zn1 0.000 0.000 0.000 1
Co1 0.000 0.000 0.500 1
Co2 0.000 0.500 0.250 1
Br1 0.000 0.500 0.750 1

***

Record 11
# LiBeTe2 | the Alexandria database | PBE-GGA | relaxed
# crystal system	monoclinic
# formation energy (no corrections)	-0.8	eV per formula unit
data_LiBeTe2
_cell_length_a 4.748
_cell_length_b 3.666
_cell_length_c 6.624
_cell_angle_alpha 90.00
_cell_angle_beta 106.82
_cell_angle_gamma 90.00
_space_group_name_H-M_alt 'P 1 2/m 1'
_space_group_IT_number 10
loop_
_space_group_symop_operation_xyz
'x,y,z'
'-x,-y,-z'
'-x,y,-z'
'x,-y,z'
loop_
_atom_site_label
_atom_site_fract_x
_atom_site_fract_y
_atom_site_fract_z
_atom_site_occupancy
Li1 0.000 0.000 0.000 1
Be1 0.000 0.000 0.500 1
Te1 0.246 0.500 0.742 1

***

Record 12
# Ba2LiAl4Ge3 | the Alexandria database | PBE-GGA | relaxed
# crystal system	tetragonal
# ΔE_f	-0.28	eV/atom
data_Ba2LiAl4Ge3
_cell_length_a 4.615
_cell_length_b 4.615
_cell_length_c 10.979
_cell_angle_alpha 90.00
_cell_angle_beta 90.00
_cell_angle_gamma 90.00
_space_group_name_H-M_alt 'P -4 m 2'
_space_group_IT_number 115
loop_
_space_group_symop_operation_xyz
'x,y,z'
'y,-x,-z'
'-x,-y,z'
'-y,x,-z'
'-x,y,z'
'-y,-x,-z'
'x,-y,z'
'y,x,-z'
loop_
_atom_site_label
_atom_site_fract_x
_atom_site_fract_y
_atom_site_fract_z
_atom_site_occupancy
Ba1 0.000 0.500 0.250 1
Li1 0.000 0.000 0.500 1
Al1 0.000 0.000 0.000 1
Al2 0.000 0.500 0.628 1
Al3 0.500 0.500 0.000 1
Ge1 0.000 0.500 0.876 1
Ge2 0.500 0.500 0.500 1

***

Record 13
# CeTm2ZrP4 | the Alexandria database | PBE-GGA | relaxed
# crystal system	monoclinic
# ΔE_f	-1.50	eV/atom
data_CeTm2ZrP4
_cell_length_a 6.780
_cell_length_b 3.923
_cell_length_c 6.801
_cell_angle_alpha 90.00
_cell_angle_beta 109.31
_cell_angle_gamma 90.00
_space_group_name_H-M_alt 'P 1 2/m 1'
_space_group_IT_number 10
loop_
_space_group_symop_operation_xyz
'x,y,z'
'-x,-y,-z'
'-x,y,-z'
'x,-y,z'
loop_
_atom_site_label
_atom_site_fract_x
_atom_site_fract_y
_atom_site_fract_z
_atom_site_occupancy
Ce1 0.000 0.000 0.000 1
Tm1 0.500 0.000 0.500 1
Tm2 0.500 0.500 0.000 1
Zr1 0.000 0.500 0.500 1
P1 0.244 0.000 0.740 1
P2 0.251 0.500 0.260 1

***

Record 14
# PrThCu | the Alexandria database | PBE-GGA | relaxed
# energy relative to the lowest polymorph listed for this composition	221	meV/atom
# crystal system	hexagonal
# ΔE_f	0.20	eV/atom
data_PrThCu
_cell_length_a 4.7465
_cell_length_b 4.7465
_cell_length_c 4.3816
_cell_angle_alpha 90.00
_cell_angle_beta 90.00
_cell_angle_gamma 120.00
_space_group_name_H-M_alt 'P -6 m 2'
_space_group_IT_number 187
_space_group_name_Hall 'P -6 2'
loop_
_atom_site_label
_atom_site_fract_x
_atom_site_fract_y
_atom_site_fract_z
_atom_site_occupancy
Pr1 0.0000 0.0000 0.0000 1
Th1 0.3333 0.6667 0.5000 1
Cu1 0.6667 0.3333 0.5000 1

***

Record 15
# Sm4Ga16Rh3 | the Alexandria database | PBE-GGA | relaxed
# crystal system	tetragonal
# ΔE_f	-0.65	eV/atom
data_Sm4Ga16Rh3
_cell_length_a 6.188
_cell_length_b 6.188
_cell_length_c 11.317
_cell_angle_alpha 90.00
_cell_angle_beta 90.00
_cell_angle_gamma 90.00
_space_group_name_H-M_alt 'P 4/m m m'
_space_group_IT_number 123
_space_group_name_Hall '-P 4 2'
loop_
_atom_site_label
_atom_site_fract_x
_atom_site_fract_y
_atom_site_fract_z
_atom_site_occupancy
Sm1 0.000 0.500 0.193 1
Ga1 0.000 0.000 0.196 1
Ga2 0.213 0.213 0.000 1
Ga3 0.251 0.251 0.382 1
Ga4 0.500 0.500 0.224 1
Rh1 0.000 0.500 0.500 1
Rh2 0.500 0.500 0.000 1

***

Record 16
# Co2NCl | the Alexandria database | PBE-GGA | relaxed
# energy relative to the lowest polymorph listed for this composition	981	meV/atom
# crystal system	cubic
# formation energy (no corrections)	4.3	eV per formula unit
data_Co2NCl
_cell_length_a 5.501
_cell_length_b 5.501
_cell_length_c 5.501
_cell_angle_alpha 90.00
_cell_angle_beta 90.00
_cell_angle_gamma 90.00
_space_group_name_H-M_alt 'F m -3 m'
_space_group_IT_number 225
_space_group_name_Hall '-F 4 2 3'
loop_
_atom_site_label
_atom_site_fract_x
_atom_site_fract_y
_atom_site_fract_z
_atom_site_occupancy
Co1 0.250 0.250 0.250 1
N1 0.000 0.000 0.000 1
Cl1 0.000 0.000 0.500 1

***

Record 17
# ZrGa2Mo | the Alexandria database | PBE-GGA | relaxed
# energy relative to the lowest polymorph listed for this composition	291	meV/atom
# crystal system	tetragonal
# ΔE_f	0.15	eV/atom
data_ZrGa2Mo
_cell_length_a 3.948
_cell_length_b 3.948
_cell_length_c 19.424
_cell_angle_alpha 90.00
_cell_angle_beta 90.00
_cell_angle_gamma 90.00
_space_group_name_H-M_alt 'I -4 2 d'
_space_group_IT_number 122
_space_group_name_Hall 'I -4 2bw'
loop_
_atom_site_label
_atom_site_fract_x
_atom_site_fract_y
_atom_site_fract_z
_atom_site_occupancy
Zr1 0.000 0.000 0.000 1
Ga1 0.224 0.250 0.625 1
Mo1 0.000 0.000 0.500 1

***

Record 18
# KRh2O4 | the Alexandria database | PBE-GGA | relaxed
# crystal system	orthorhombic
# formation energy (no corrections)	-6.5	eV per formula unit
data_KRh2O4
_cell_length_a 9.525
_cell_length_b 3.136
_cell_length_c 11.177
_cell_angle_alpha 90.00
_cell_angle_beta 90.00
_cell_angle_gamma 90.00
_space_group_name_H-M_alt 'P n m a'
_space_group_IT_number 62
loop_
_space_group_symop_operation_xyz
'x,y,z'
'-x,-y,-z'
'-x+1/2,-y,z+1/2'
'x+1/2,y,-z+1/2'
'x+1/2,-y+1/2,-z+1/2'
'-x+1/2,y+1/2,z+1/2'
'-x,y+1/2,-z'
'x,-y+1/2,z'
loop_
_atom_site_label
_atom_site_fract_x
_atom_site_fract_y
_atom_site_fract_z
_atom_site_occupancy
K1 0.241 0.250 0.158 1
Rh1 0.063 0.250 0.388 1
Rh2 0.081 0.250 0.897 1
O1 0.028 0.750 0.787 1
O2 0.070 0.250 0.570 1
O3 0.108 0.750 0.014 1
O4 0.200 0.750 0.355 1

***

Record 19
# Zn2BiI6 | the Alexandria database | PBE-GGA | relaxed
# crystal system	monoclinic
# formation energy (no corrections)	-3.6	eV per formula unit
data_Zn2BiI6
_cell_length_a 16.586
_cell_length_b 13.238
_cell_length_c 7.978
_cell_angle_alpha 90.00
_cell_angle_beta 114.06
_cell_angle_gamma 90.00
_space_group_name_H-M_alt 'C 1 2/c 1'
_space_group_IT_number 15
loop_
_space_group_symop_operation_xyz
'x,y,z'
'-x,-y,-z'
'-x,y,-z+1/2'
'x,-y,z+1/2'
'x+1/2,y+1/2,z'
'-x+1/2,-y+1/2,-z'
'-x+1/2,y+1/2,-z+1/2'
'x+1/2,-y+1/2,z+1/2'
loop_
_atom_site_label
_atom_site_fract_x
_atom_site_fract_y
_atom_site_fract_z
_atom_site_occupancy
Zn1 0.201 0.089 0.258 1
Bi1 0.000 0.315 0.250 1
I1 0.126 0.409 0.628 1
I2 0.134 0.059 0.505 1
I3 0.141 0.265 0.101 1

***

Record 20
# Ba2AlZn2 | the Alexandria database | PBE-GGA | relaxed
# energy relative to the lowest polymorph listed for this composition	0	meV/atom
# crystal system	monoclinic
# ΔE_f	-0.17	eV/atom
data_Ba2AlZn2
_cell_length_a 12.840
_cell_length_b 4.672
_cell_length_c 12.152
_cell_angle_alpha 90.00
_cell_angle_beta 119.82
_cell_angle_gamma 90.00
_space_group_name_H-M_alt 'C 1 2/m 1'
_space_group_IT_number 12
loop_
_space_group_symop_operation_xyz
'x,y,z'
'-x,-y,-z'
'-x,y,-z'
'x,-y,z'
'x+1/2,y+1/2,z'
'-x+1/2,-y+1/2,-z'
'-x+1/2,y+1/2,-z'
'x+1/2,-y+1/2,z'
loop_
_atom_site_label
_atom_site_fract_x
_atom_site_fract_y
_atom_site_fract_z
_atom_site_occupancy
Ba1 0.002 0.000 0.344 1
Ba2 0.195 0.000 0.112 1
Al1 0.214 0.500 0.350 1
Zn1 0.003 0.500 0.122 1
Zn2 0.185 0.500 0.561 1

***

Record 21
# Ho2ErTi | the Alexandria database | PBE-GGA | relaxed
# energy relative to the lowest polymorph listed for this composition	253	meV/atom
# crystal system	trigonal
# ΔE_f	0.41	eV/atom
data_Ho2ErTi
_cell_length_a 3.3369
_cell_length_b 3.3369
_cell_length_c 34.8647
_cell_angle_alpha 90.00
_cell_angle_beta 90.00
_cell_angle_gamma 120.00
_space_group_name_H-M_alt 'R -3 m'
_space_group_IT_number 166
_space_group_name_Hall '-R 3 2"'
loop_
_atom_site_label
_atom_site_fract_x
_atom_site_fract_y
_atom_site_fract_z
_atom_site_occupancy
Ho1 0.0000 0.0000 0.0843 1
Er1 0.0000 0.0000 0.5000 1
Ti1 0.0000 0.0000 0.0000 1

***

Record 22
# Co2CuPb | the Alexandria database | PBE-GGA | relaxed
# crystal system	monoclinic
# ΔE_f	0.53	eV/atom
data_Co2CuPb
_cell_length_a 3.036
_cell_length_b 4.304
_cell_length_c 4.869
_cell_angle_alpha 90.00
_cell_angle_beta 91.35
_cell_angle_gamma 90.00
_space_group_name_H-M_alt 'P 1 2/m 1'
_space_group_IT_number 10
loop_
_space_group_symop_operation_xyz
'x,y,z'
'-x,-y,-z'
'-x,y,-z'
'x,-y,z'
loop_
_atom_site_label
_atom_site_fract_x
_atom_site_fract_y
_atom_site_fract_z
_atom_site_occupancy
Co1 0.227 0.000 0.186 1
Cu1 0.500 0.500 0.000 1
Pb1 0.000 0.500 0.500 1

***

| no. | E_tot (eV for the cell shown) |
| --- | --- |
| 1 | -69.451 |
| 2 | -56.672 |
| 3 | -28.330 |
| 4 | -124.971 |
| 5 | -54.718 |
| 6 | -54.866 |
| 7 | -55.827 |
| 8 | -34.747 |
| 9 | -96.435 |
| 10 | -29.025 |
| 11 | -12.734 |
| 12 | -37.357 |
| 13 | -57.096 |
| 14 | -15.695 |
| 15 | -104.222 |
| 16 | -80.525 |
| 17 | -99.339 |
| 18 | -168.428 |
| 19 | -77.482 |
| 20 | -43.968 |
| 21 | -59.887 |
| 22 | -19.894 |